5
Lattice="-3.858 -2.503 -0.466 1.458 -1.479 -4.130 2.087 -3.594 2.024" Properties=species:S:1:pos:R:3 comment="CaAgMo3, optimized geometry, DFT GGA-PBE" formation_energy_mev_per_atom=2616 relative_energy_mev_per_atom=514 final_energy_ev_per_atom=-4.853 pbc="T T T"
Ag -0.156 -3.788 -1.286
Mo 1.043 -1.797 1.012
Mo -1.929 -1.251 -0.233
Ca 0.000 0.000 0.000
Mo 0.729 -0.739 -2.065